Entry 1:
Rb2NaBiCl6: optimized geometry, PBE-GGA.

a b c (Å): 7.744 7.744 7.744
angles (deg): 60.00 60.00 60.00
Fractional positions:
Cl 0.752 0.248 0.248
Cl 0.752 0.752 0.248
Cl 0.248 0.248 0.752
Rb 0.750 0.750 0.750
Cl 0.752 0.248 0.752
Rb 0.250 0.250 0.250
Bi 0.000 0.000 0.000
Cl 0.248 0.752 0.752
Cl 0.248 0.752 0.248
Na 0.500 0.500 0.500

formation energy from raw total energies	-15.68	eV/f.u.
energy above the lowest structure with this stoichiometry	22.6	meV/atom
space-group type	Fm-3m, No. 225
total moment	0.000	μB per cell

Entry 2:
NdTm2Ga4: optimized geometry, PBE-GGA.

a b c (Å): 4.143 4.283 9.544
angles (deg): 102.97 102.54 90.00
Fractional positions:
Tm 0.815 0.815 0.629
Ga 0.351 0.351 0.701
Nd 0.500 0.000 0.000
Ga 0.649 0.649 0.299
Tm 0.185 0.185 0.371
Ga 0.068 0.568 0.137
Ga 0.932 0.432 0.863

formation energy from the elements	-0.6443	eV per atom
space-group type	Immm, No. 71
total moment	0.000	μB per cell

Entry 3:
Pr8Y6Ho: optimized geometry, PBE-GGA.

a b c (Å): 6.665 9.506 9.506
angles (deg): 120.00 90.00 90.00
Fractional positions:
Y 0.345 0.094 0.436
Pr 0.166 0.752 0.039
Pr 0.166 0.961 0.713
Y 0.655 0.659 0.094
Y 0.655 0.436 0.341
Y 0.345 0.564 0.659
Pr 0.834 0.713 0.752
Ho 0.500 0.000 0.000
Pr 0.120 0.667 0.333
Y 0.655 0.906 0.564
Pr 0.166 0.287 0.248
Pr 0.880 0.333 0.667
Y 0.345 0.341 0.906
Pr 0.834 0.039 0.287
Pr 0.834 0.248 0.961

energy above the lowest structure with this stoichiometry	48.9	meV/atom
formation energy from the elements	0.1613	eV per atom
space-group type	P-3, No. 147
total moment	0.000	μB per cell

Entry 4:
Ir4OsRu3: optimized geometry, PBE-GGA.

a b c (Å): 2.707 8.457 6.874
angles (deg): 128.04 101.36 90.00
Fractional positions:
Ru 0.000 0.500 0.000
Ir 0.874 0.098 0.747
Ir 0.755 0.255 0.511
Ir 0.245 0.745 0.489
Ru 0.136 0.361 0.272
Os 0.500 0.000 0.000
Ir 0.126 0.902 0.253
Ru 0.864 0.639 0.728

energy above the lowest structure with this stoichiometry	0.0	meV/atom
formation energy from the elements	0.3032	eV per atom
space-group type	C2/m, No. 12
total moment	0.005	μB per cell

Entry 5:
AlFeSe2: optimized geometry, PBE-GGA.

a b c (Å): 6.618 6.618 6.618
angles (deg): 149.82 149.95 43.11
Fractional positions:
Se 0.956 0.956 0.000
Fe 0.792 0.292 0.500
Se 0.207 0.707 0.500
Al 0.546 0.546 0.000

formation energy from raw total energies	-0.40	eV/f.u.
space-group type	Imm2, No. 44
total moment	3.275	μB per cell

Entry 6:
Np2GaIr: optimized geometry, PBE-GGA.

a b c (Å): 3.769 3.769 5.616
angles (deg): 90.00 90.00 90.00
Fractional positions:
Np 0.000 0.000 0.750
Ga 0.500 0.500 0.500
Ir 0.500 0.500 0.000
Np 0.000 0.000 0.250

formation energy from the elements	-0.1685	eV per atom
space-group type	P4/mmm, No. 123
total moment	7.454	μB per cell

Entry 7:
Ce2SiP4: optimized geometry, PBE-GGA.

a b c (Å): 6.739 5.537 8.134
angles (deg): 90.00 107.56 90.00
Fractional positions:
Ce 0.747 0.750 0.062
P 0.487 0.979 0.740
P 0.912 0.250 0.095
P 0.513 0.021 0.260
Ce 0.253 0.250 0.938
P 0.487 0.521 0.740
Si 0.753 0.250 0.811
P 0.923 0.250 0.614
P 0.513 0.479 0.260
Ce 0.770 0.750 0.568
P 0.088 0.750 0.905
P 0.077 0.750 0.386
Si 0.247 0.750 0.189
Ce 0.230 0.250 0.432

formation energy from raw total energies	-6.17	eV/f.u.
space-group type	P2_1/m, No. 11
total moment	2.063	μB per cell

Entry 8:
Ba3Sn2Bi4: optimized geometry, PBE-GGA.

a b c (Å): 7.304 10.132 10.132
angles (deg): 79.51 92.07 92.07
Fractional positions:
Bi 0.400 0.933 0.240
Bi 0.600 0.067 0.760
Ba 0.250 0.603 0.397
Ba 0.904 0.003 0.259
Bi 0.900 0.240 0.933
Bi 0.095 0.253 0.436
Sn 0.474 0.159 0.415
Bi 0.595 0.436 0.253
Sn 0.026 0.585 0.841
Bi 0.405 0.564 0.747
Sn 0.526 0.841 0.585
Sn 0.974 0.415 0.159
Ba 0.750 0.397 0.603
Bi 0.100 0.760 0.067
Ba 0.404 0.259 0.003
Bi 0.905 0.747 0.564
Ba 0.096 0.997 0.741
Ba 0.596 0.741 0.997

energy above the lowest structure with this stoichiometry	39.8	meV/atom
formation energy from the elements	-0.5526	eV per atom
space-group type	C2/c, No. 15
total moment	0.000	μB per cell

Question: Which formula does entry 2 have?
Answer: NdTm2Ga4

Question: Look up the total moment of the sixth one.
Answer: 7.454 μB per cell